(1)
# GeAs3Se

A relaxed structure of GeAs3Se (PBE, Alexandria via LeMat-Bulk).

```
GeAs3Se
1.0
-3.574 -2.103 -2.671
-2.585 -0.837 4.117
-2.208 4.383 -0.496
As Ge Se
3 1 1
Direct
0.000 0.000 0.500
0.500 0.000 0.000
0.000 0.500 0.000
0.000 0.000 0.000
0.500 0.500 0.500
```

Output
Calculated total energy ... -3.54 eV per atom
Density of states at the Fermi level ... 0.73 states/eV/atom
Symmetry ... Pm-3m, No. 221


(2)
# Ac4IrCBr2

A relaxed structure of Ac4IrCBr2 (PBE, Alexandria via LeMat-Bulk).

```
Ac4IrCBr2
1.0
-0.658 1.869 3.686
-7.328 0.098 -1.358
1.610 -7.277 3.978
Ir C Ac Br
1 1 4 2
Direct
0.000 0.000 0.000
0.500 0.500 0.000
0.500 0.755 0.810
0.500 0.245 0.190
0.000 0.285 0.813
0.000 0.715 0.187
0.000 0.500 0.500
0.500 0.000 0.500
```

Output
Calculated total energy ... -5.61 eV per atom
Density of states at the Fermi level ... 0.83 states/eV/atom
Symmetry ... P2/m, No. 10